Arrangement P

Computed, not measured: an optimized crystal structure of Nd2Dy at the GGA-PBE level of DFT.

Cell lengths 6.6858, 6.6858, 6.6858 Å; angles 60.00, 60.00, 60.00 degrees
With the nearest neighbours (Å) after each atom.
Positions (direct):
Nd  0.0000  0.0000  0.0000  6 Nd 3.34
Nd  0.0000  0.0000  0.5000  6 Nd 3.34
Nd  0.0000  0.5000  0.0000  6 Nd 3.34
Nd  0.5000  0.0000  0.0000  6 Nd 3.34
Dy  0.3750  0.3750  0.3750  12 Nd 3.92, 4 Dy 4.09
Dy  0.6250  0.6250  0.6250  12 Nd 3.92, 4 Dy 4.09

Properties
The space group is Fd-3m, No. 227.

=====

Arrangement Q

Computed, not measured: an optimized crystal structure of Nd2Dy at the GGA-PBE level of DFT.

Cell lengths 8.1282, 8.1282, 8.1282 Å; angles 154.13, 154.13, 36.92 degrees
With the nearest neighbours (Å) after each atom.
Positions (direct):
Nd  0.1648  0.1648  0.0000  4 Dy 3.62, 8 Nd 3.64-3.68
Nd  0.8352  0.8352  0.0000  4 Dy 3.62, 8 Nd 3.64-3.68
Dy  0.5000  0.5000  0.0000  8 Nd 3.62, 4 Dy 3.64

Properties
The space group is I4/mmm, No. 139.

=====

Stability ranking, top and bottom: arrangement Q is the most stable and arrangement P is the least stable.

=====

Arrangement P

Computed, not measured: an optimized crystal structure of Nd7Dy2 at the GGA-PBE level of DFT.

Cell lengths 6.3265, 6.3265, 8.9287 Å; angles 90.00, 90.00, 120.00 degrees
With the nearest neighbours (Å) after each atom.
Positions (direct):
Nd  0.0000  0.0000  0.0000  6 Nd 3.63, 6 Dy 3.65
Nd  0.0000  0.3339  0.6696  2 Dy 3.63, 10 Nd 3.63-3.69
Nd  0.0000  0.6661  0.3304  2 Dy 3.63, 10 Nd 3.63-3.69
Nd  0.3339  0.0000  0.6696  2 Dy 3.63, 10 Nd 3.63-3.69
Nd  0.3339  0.3339  0.3304  2 Dy 3.63, 10 Nd 3.63-3.69
Nd  0.6661  0.0000  0.3304  2 Dy 3.63, 10 Nd 3.63-3.69
Nd  0.6661  0.6661  0.6696  2 Dy 3.63, 10 Nd 3.63-3.69
Dy  0.3333  0.6667  0.0000  9 Nd 3.63-3.65, 3 Dy 3.65
Dy  0.6667  0.3333  0.0000  9 Nd 3.63-3.65, 3 Dy 3.65

Properties
The space group is P-31m, No. 162.

=====

Arrangement Q

Computed, not measured: an optimized crystal structure of Nd7Dy2 at the GGA-PBE level of DFT.

Cell lengths 9.9990, 9.9990, 3.5801 Å; angles 90.00, 90.00, 120.00 degrees
With the nearest neighbours (Å) after each atom.
Positions (direct):
Nd  0.0000  0.0000  0.0000  11 Nd 3.57-3.61
Nd  0.0000  0.3609  0.0000  9 Nd 3.58-3.82, 4 Dy 3.67
Nd  0.0000  0.6911  0.5000  2 Dy 3.46, 10 Nd 3.57-3.82
Nd  0.3089  0.3089  0.5000  2 Dy 3.46, 10 Nd 3.57-3.82
Nd  0.3609  0.0000  0.0000  9 Nd 3.58-3.82, 4 Dy 3.67
Nd  0.6391  0.6391  0.0000  9 Nd 3.58-3.82, 4 Dy 3.67
Nd  0.6911  0.0000  0.5000  2 Dy 3.46, 10 Nd 3.57-3.82
Dy  0.3333  0.6667  0.5000  9 Nd 3.46-3.67, 2 Dy 3.58
Dy  0.6667  0.3333  0.5000  9 Nd 3.46-3.67, 2 Dy 3.58

Properties
The space group is P-62m, No. 189.

=====

Stability ranking, top and bottom: arrangement P is the most stable and arrangement Q is the least stable.

=====

Arrangement P

Computed, not measured: an optimized crystal structure of Nd2DyNi2 at the GGA-PBE level of DFT.

Cell lengths 6.6657, 6.6657, 11.2365 Å; angles 117.57, 117.57, 33.26 degrees
With the nearest neighbours (Å) after each atom.
Positions (direct):
Nd  0.0439  0.0439  0.1913  6 Ni 2.91-3.12
Nd  0.1610  0.1610  0.5697  4 Ni 2.82-3.06
Nd  0.8390  0.8390  0.4303  4 Ni 2.82-3.06
Nd  0.9561  0.9561  0.8087  6 Ni 2.91-3.12
Dy  0.2938  0.2938  0.1403  4 Ni 2.77-2.86
Dy  0.7062  0.7062  0.8597  4 Ni 2.77-2.86
Ni  0.3856  0.3856  0.9531  1 Ni 2.58, 3 Dy 2.77-2.86
Ni  0.4959  0.4959  0.6143  1 Ni 2.62, 1 Dy 2.77, 2 Nd 2.82
Ni  0.5041  0.5041  0.3857  1 Ni 2.62, 1 Dy 2.77, 2 Nd 2.82
Ni  0.6144  0.6144  0.0469  1 Ni 2.58, 3 Dy 2.77-2.86

Properties
The space group is C2/m, No. 12.

=====

Arrangement Q

Computed, not measured: an optimized crystal structure of Nd2DyNi2 at the GGA-PBE level of DFT.

Cell lengths 7.6910, 7.6910, 3.9440 Å; angles 90.00, 90.00, 90.00 degrees
With the nearest neighbours (Å) after each atom.
Positions (direct):
Nd  0.1678  0.3322  0.0000  6 Ni 2.99-3.03
Nd  0.3322  0.8322  0.0000  6 Ni 2.99-3.03
Nd  0.6678  0.1678  0.0000  6 Ni 2.99-3.03
Nd  0.8322  0.6678  0.0000  6 Ni 2.99-3.03
Dy  0.0000  0.0000  0.5000  4 Ni 3.06
Dy  0.5000  0.5000  0.5000  4 Ni 3.06
Ni  0.1206  0.6206  0.5000  1 Ni 2.62
Ni  0.3794  0.1206  0.5000  1 Ni 2.62
Ni  0.6206  0.8794  0.5000  1 Ni 2.62
Ni  0.8794  0.3794  0.5000  1 Ni 2.62

Properties
The space group is P4/mbm, No. 127.

=====

Stability ranking, top and bottom: arrangement P is the most stable and arrangement Q is the least stable.

=====

Arrangement P

Computed, not measured: an optimized crystal structure of NdDyNi at the GGA-PBE level of DFT.

Cell lengths 3.4583, 6.6802, 7.0066 Å; angles 103.07, 90.03, 104.99 degrees
With the nearest neighbours (Å) after each atom.
Positions (direct):
Nd  0.1271  0.2531  0.0661  4 Ni 2.99-3.19, 1 Nd 3.18
Nd  0.8729  0.7469  0.9339  4 Ni 2.99-3.19, 1 Nd 3.18
Dy  0.1313  0.2631  0.5706  4 Ni 2.82-2.83
Dy  0.8687  0.7369  0.4294  4 Ni 2.82-2.83
Ni  0.4943  0.9866  0.7106  4 Dy 2.82-2.83, 2 Nd 2.99-3.00, 1 Ni 3.00
Ni  0.5057  0.0134  0.2894  4 Dy 2.82-2.83, 2 Nd 2.99-3.00, 1 Ni 3.00

Properties
The space group is P-1, No. 2.

=====

Arrangement Q

Computed, not measured: an optimized crystal structure of NdDyNi at the GGA-PBE level of DFT.

Cell lengths 3.9166, 3.9166, 6.3279 Å; angles 90.00, 90.00, 120.00 degrees
With the nearest neighbours (Å) after each atom.
Positions (direct):
Nd  0.0000  0.0000  0.0000  3 Ni 2.79
Dy  0.3333  0.6667  0.4937  3 Ni 2.71
Ni  0.6667  0.3333  0.2583  3 Dy 2.71, 3 Nd 2.79

Properties
The space group is P3m1, No. 156.

=====

Arrangement R

Computed, not measured: an optimized crystal structure of NdDyNi at the GGA-PBE level of DFT.

Cell lengths 6.3897, 6.3897, 8.2095 Å; angles 124.36, 124.36, 34.00 degrees
With the nearest neighbours (Å) after each atom.
Positions (direct):
Nd  0.1673  0.1673  0.0786  3 Ni 2.85-3.06
Nd  0.8327  0.8327  0.9214  3 Ni 2.85-3.06
Dy  0.4150  0.4150  0.6136  4 Ni 2.81-2.95
Dy  0.5850  0.5850  0.3864  4 Ni 2.81-2.95
Ni  0.1222  0.1222  0.6701  1 Ni 2.62, 2 Dy 2.81, 2 Nd 2.85
Ni  0.8778  0.8778  0.3299  1 Ni 2.62, 2 Dy 2.81, 2 Nd 2.85

Properties
The space group is C2/m, No. 12.

=====

Stability ranking, top and bottom: arrangement R is the most stable and arrangement Q is the least stable.